1.
Entry from Alexandria via LeMat-Bulk: Ca2MnMo after structural relaxation (PBE-GGA).

Cell lengths 7.0826, 7.0826, 7.0826 Å; angles 90.00, 90.00, 90.00 degrees
Positions (direct):
Ca  0.2500  0.2500  0.2500
Ca  0.2500  0.2500  0.7500
Ca  0.2500  0.7500  0.2500
Ca  0.2500  0.7500  0.7500
Ca  0.7500  0.2500  0.2500
Ca  0.7500  0.2500  0.7500
Ca  0.7500  0.7500  0.2500
Ca  0.7500  0.7500  0.7500
Mn  0.0000  0.0000  0.0000
Mn  0.0000  0.5000  0.5000
Mn  0.5000  0.0000  0.5000
Mn  0.5000  0.5000  0.0000
Mo  0.0000  0.0000  0.5000
Mo  0.0000  0.5000  0.0000
Mo  0.5000  0.0000  0.0000
Mo  0.5000  0.5000  0.5000

Calculated values
ΔE to the lowest computed polymorph: 951 meV per atom
total magnetization: 2.70 μB/f.u.
N(E_F): 3.22 states/eV/atom
mass density: 4.3 g cm⁻³
E_tot: -4.6827 eV/atom

2.
Entry from Alexandria via LeMat-Bulk: PuThMg2 after structural relaxation (PBE-GGA).

Cell lengths 3.2554, 3.2554, 10.1640 Å; angles 90.00, 90.00, 90.00 degrees
Positions (direct):
Pu  0.0000  0.0000  0.0000
Th  0.0000  0.0000  0.5000
Mg  0.5000  0.5000  0.2466
Mg  0.5000  0.5000  0.7534

Calculated values
total magnetization: 6.13 μB/f.u.
N(E_F): 2.24 states/eV/atom
mass density: 8.1 g cm⁻³
E_tot: -6.1029 eV/atom

Number 1: V 88.8 Å³/f.u., formation energy from the elements 1.3183 eV per atom. Number 2: V 107.7 Å³/f.u., formation energy from the elements 0.1323 eV per atom.